# LuThSn2, relaxed, DFT PBE-GGA
data_LuThSn2
_space_group_name_H-M_alt 'P 4/m m m'
_space_group_IT_number 123
_space_group_name_Hall '-P 4 2'
_cell_length_a 4.932
_cell_length_b 4.932
_cell_length_c 4.466
_cell_angle_alpha 90.00
_cell_angle_beta 90.00
_cell_angle_gamma 90.00
loop_
_atom_site_label
_atom_site_fract_x
_atom_site_fract_y
_atom_site_fract_z
Lu1 0.000 0.000 0.000
Th1 0.500 0.500 0.000
Sn1 0.000 0.500 0.500
# Electronic total energy = -5.51 eV per atom
# Offset from the most stable computed form = 0 meV per atom
# Crystal system = tetragonal
# Size of the total moment = 0.00 μB per formula unit